Here is a relaxed structure of TbCoSn3 from the Alexandria database. Energies are from PBE-GGA.

Output
VASP energy   -4.904 eV/atom
Formation enthalpy at 0 K   -0.1550 eV per atom

```
data_TbCoSn3
_symmetry_space_group_name_H-M 'P n m a'
_symmetry_Int_Tables_number 62
_symmetry_space_group_name_Hall '-P 2ac 2n'
_cell_length_a 6.0270
_cell_length_b 11.4043
_cell_length_c 6.8979
_cell_angle_alpha 90.00
_cell_angle_beta 90.00
_cell_angle_gamma 90.00
loop_
_atom_site_label
_atom_site_type_symbol
_atom_site_fract_x
_atom_site_fract_y
_atom_site_fract_z
_atom_site_occupancy
Tb1 Tb 0.0000 0.0000 0.0000 1
Co1 Co 0.1466 0.2500 0.0308 1
Sn1 Sn 0.0047 0.6207 0.6082 1
Sn2 Sn 0.2004 0.7500 0.1823 1
```

Here is a relaxed structure of CsAl2Te2 from the Alexandria database. Energies are from PBE-GGA.

Output
Offset from the most stable computed form   0.0 kJ/mol of atoms
Formation energy without anion corrections   -344 meV/atom
VASP energy   -3.269 eV/atom

```
data_CsAl2Te2
_symmetry_space_group_name_H-M 'I 4/m m m'
_symmetry_Int_Tables_number 139
_symmetry_space_group_name_Hall '-I 4 2'
_cell_length_a 5.5224
_cell_length_b 5.5224
_cell_length_c 10.2026
_cell_angle_alpha 90.00
_cell_angle_beta 90.00
_cell_angle_gamma 90.00
loop_
_atom_site_label
_atom_site_type_symbol
_atom_site_fract_x
_atom_site_fract_y
_atom_site_fract_z
_atom_site_occupancy
Cs1 Cs 0.0000 0.0000 0.0000 1
Al1 Al 0.0000 0.0000 0.3589 1
Te1 Te 0.0000 0.5000 0.2500 1
```

Here is a relaxed structure of Si4Ir from the Alexandria database. Energies are from PBE-GGA.

Output
Offset from the most stable computed form   20.4 kJ/mol of atoms
Formation energy without anion corrections   396 meV/atom
VASP energy   -5.715 eV/atom

```
data_Si4Ir
_symmetry_space_group_name_H-M 'I m -3 m'
_symmetry_Int_Tables_number 229
_symmetry_space_group_name_Hall '-I 4 2 3'
_cell_length_a 5.5831
_cell_length_b 5.5831
_cell_length_c 5.5831
_cell_angle_alpha 90.00
_cell_angle_beta 90.00
_cell_angle_gamma 90.00
loop_
_atom_site_label
_atom_site_type_symbol
_atom_site_fract_x
_atom_site_fract_y
_atom_site_fract_z
_atom_site_occupancy
Si1 Si 0.2500 0.2500 0.2500 1
Ir1 Ir 0.0000 0.0000 0.0000 1
```

Here is a relaxed structure of AuS3O12 from the Alexandria database. Energies are from PBE-GGA.

Output
Formation energy without anion corrections   -684 meV/atom
VASP energy   -5.382 eV/atom

```
data_AuS3O12
_symmetry_space_group_name_H-M 'R 3 c'
_symmetry_Int_Tables_number 161
_symmetry_space_group_name_Hall 'R 3 -2"c'
_cell_length_a 8.9403
_cell_length_b 8.9403
_cell_length_c 23.2904
_cell_angle_alpha 90.00
_cell_angle_beta 90.00
_cell_angle_gamma 120.00
loop_
_atom_site_label
_atom_site_type_symbol
_atom_site_fract_x
_atom_site_fract_y
_atom_site_fract_z
_atom_site_occupancy
Au1 Au 0.0000 0.0000 0.0000 1
S1 S 0.1045 0.3573 0.0736 1
O1 O 0.0130 0.4030 0.4302 1
O2 O 0.0230 0.2028 0.3640 1
O3 O 0.0723 0.2248 0.5516 1
O4 O 0.1856 0.4302 0.6206 1
```

Here is a relaxed structure of YHfGa4 from the Alexandria database. Energies are from PBE-GGA.

Output
VASP energy   -5.178 eV/atom
Formation enthalpy at 0 K   -0.4243 eV per atom

```
data_YHfGa4
_symmetry_space_group_name_H-M 'F -4 3 m'
_symmetry_Int_Tables_number 216
_symmetry_space_group_name_Hall 'F -4 2 3'
_cell_length_a 7.6074
_cell_length_b 7.6074
_cell_length_c 7.6074
_cell_angle_alpha 90.00
_cell_angle_beta 90.00
_cell_angle_gamma 90.00
loop_
_atom_site_label
_atom_site_type_symbol
_atom_site_fract_x
_atom_site_fract_y
_atom_site_fract_z
_atom_site_occupancy
Y1 Y 0.0000 0.0000 0.0000 1
Hf1 Hf 0.2500 0.2500 0.7500 1
Ga1 Ga 0.1246 0.1246 0.3754 1
```

Here is a relaxed structure of La2Tl2Os from the Alexandria database. Energies are from PBE-GGA.

Output
Offset from the most stable computed form   0.0 kJ/mol of atoms
VASP energy   -4.978 eV/atom
Formation enthalpy at 0 K   0.1857 eV per atom

```
data_La2Tl2Os
_symmetry_space_group_name_H-M 'P 4/m b m'
_symmetry_Int_Tables_number 127
_symmetry_space_group_name_Hall '-P 4 2ab'
_cell_length_a 7.4673
_cell_length_b 7.4673
_cell_length_c 5.5883
_cell_angle_alpha 90.00
_cell_angle_beta 90.00
_cell_angle_gamma 90.00
loop_
_atom_site_label
_atom_site_type_symbol
_atom_site_fract_x
_atom_site_fract_y
_atom_site_fract_z
_atom_site_occupancy
La1 La 0.1720 0.3280 0.0000 1
Tl1 Tl 0.1539 0.6539 0.5000 1
Os1 Os 0.0000 0.0000 0.0000 1
```